A plane-wave DFT calculation with GGA-PBE was carried out for a geometry-optimized Ba4SrAc2 structure.

Calculated values
* space group: No. 166
* D(E_F): 1.591 states/eV/atom
* DFT formation energy: 0.32 eV/f.u.
* crystal system: trigonal
* energy above the most stable polymorph in this dataset: 0.00 eV per formula unit
* total energy: -2.4670 eV per atom
* magnetic moment: 0.0 μB/cell

abc: 4.2689 4.2689 24.7347
angles: 85.05 85.05 60.00
Last column: nearest neighbours and their distance in Å.
Fractional positions:
Ba 0.0996 0.0996 0.7013  3 Ac 4.22, 9 Ba 4.27-4.50
Ba 0.3820 0.3820 0.8541  9 Ba 4.27-4.50, 3 Sr 4.35
Ba 0.6180 0.6180 0.1459  9 Ba 4.27-4.50, 3 Sr 4.35
Ba 0.9004 0.9004 0.2987  3 Ac 4.22, 9 Ba 4.27-4.50
Ac 0.8127 0.8127 0.5619  9 Ac 3.92-4.27, 3 Ba 4.22
Ac 0.1873 0.1873 0.4381  9 Ac 3.92-4.27, 3 Ba 4.22
Sr 0.0000 0.0000 0.0000  6 Sr 4.27, 6 Ba 4.35